No. 1
The following is a PBE calculation of a relaxed structure of EuEr3N, from the Alexandria database.

Geometry as POSCAR:
```
EuEr3N
1.0
4.957 0.000 0.000
0.000 4.957 0.000
0.000 0.000 4.957
Eu Er N
1 3 1
direct
0.000 0.000 0.000 Eu
0.000 0.500 0.500 Er
0.500 0.000 0.500 Er
0.500 0.500 0.000 Er
0.500 0.500 0.500 N
```

Results
Formation energy from raw total energies: -448 meV/atom
VASP energy: -0.508 Ry/atom
Crystal system: cubic


No. 2
The following is a PBE calculation of a relaxed structure of PrCo4As12, from the Alexandria database.

Geometry as POSCAR:
```
PrCo4As12
1.0
-4.198 4.198 4.198
4.198 -4.198 4.198
4.198 4.198 -4.198
Pr Co As
1 4 12
direct
0.000 0.000 0.000 Pr
0.000 0.000 0.500 Co
0.000 0.500 0.000 Co
0.500 0.000 0.000 Co
0.500 0.500 0.500 Co
0.154 0.497 0.343 As
0.154 0.811 0.657 As
0.189 0.343 0.846 As
0.343 0.154 0.497 As
0.343 0.846 0.189 As
0.497 0.343 0.154 As
0.503 0.657 0.846 As
0.657 0.154 0.811 As
0.657 0.846 0.503 As
0.811 0.657 0.154 As
0.846 0.189 0.343 As
0.846 0.503 0.657 As
```

Results
ΔE_f: -8.53 kcal/mol of atoms
VASP energy: -0.412 Ry/atom
Crystal system: cubic


No. 3
The following is a PBE calculation of a relaxed structure of Ce4SiTe2Pb, from the Alexandria database.

Geometry as POSCAR:
```
Ce4SiTe2Pb
1.0
7.680 0.000 0.000
0.000 4.431 0.000
-2.558 0.000 7.310
Ce Si Te Pb
4 1 2 1
direct
0.230 0.000 0.231 Ce
0.240 0.500 0.760 Ce
0.760 0.500 0.240 Ce
0.770 0.000 0.769 Ce
0.000 0.500 0.000 Si
0.500 0.000 0.000 Te
0.500 0.500 0.500 Te
0.000 0.000 0.500 Pb
```

Results
Formation energy from raw total energies: -909 meV/atom
VASP energy: -0.427 Ry/atom
Crystal system: monoclinic


No. 4
The following is a PBE calculation of a relaxed structure of Pr2CdCu12Ni3, from the Alexandria database.

Geometry as POSCAR:
```
Pr2CdCu12Ni3
1.0
4.312 2.490 4.147
-4.312 2.490 4.147
0.000 -4.979 4.147
Pr Cd Cu Ni
2 1 12 3
direct
0.243 0.243 0.243 Pr
0.757 0.757 0.757 Pr
0.500 0.500 0.500 Cd
0.078 0.078 0.652 Cu
0.078 0.652 0.078 Cu
0.212 0.704 0.704 Cu
0.296 0.296 0.788 Cu
0.296 0.788 0.296 Cu
0.348 0.922 0.922 Cu
0.652 0.078 0.078 Cu
0.704 0.212 0.704 Cu
0.704 0.704 0.212 Cu
0.788 0.296 0.296 Cu
0.922 0.348 0.922 Cu
0.922 0.922 0.348 Cu
0.000 0.500 0.500 Ni
0.500 0.000 0.500 Ni
0.500 0.500 0.000 Ni
```

Results
ΔE_f: 2.61 kcal/mol of atoms
VASP energy: -0.306 Ry/atom
Crystal system: trigonal


No. 5
The following is a PBE calculation of a relaxed structure of BaSc2As, from the Alexandria database.

Geometry as POSCAR:
```
BaSc2As
1.0
6.211 -1.795 0.000
6.211 1.795 0.000
-2.754 0.000 5.167
Ba Sc As
1 2 1
direct
0.000 0.000 0.000 Ba
0.186 0.186 0.685 Sc
0.814 0.814 0.315 Sc
0.500 0.500 0.500 As
```

Results
ΔE_f: -9.89 kcal/mol of atoms
VASP energy: -0.385 Ry/atom
Crystal system: monoclinic


No. 6
The following is a PBE calculation of a relaxed structure of TbHo2Er, from the Alexandria database.

Geometry as POSCAR:
```
TbHo2Er
1.0
1.774 1.024 11.352
-1.774 1.024 11.352
0.000 -2.049 11.352
Tb Ho Er
1 2 1
direct
0.000 0.000 0.000 Tb
0.418 0.418 0.418 Ho
0.583 0.583 0.583 Ho
0.834 0.834 0.834 Er
```

Results
ΔE_f: 0.15 kcal/mol of atoms
Distance to the lowest polymorph of the same formula: 3.3 meV per atom
VASP energy: -0.337 Ry/atom
Crystal system: trigonal


No. 7
The following is a PBE calculation of a relaxed structure of CaScTe2, from the Alexandria database.

Geometry as POSCAR:
```
CaScTe2
1.0
3.753 0.000 0.000
0.000 3.756 0.000
-0.025 0.000 7.604
Ca Sc Te
1 1 2
direct
0.000 0.000 0.000 Ca
0.000 0.000 0.500 Sc
0.500 0.500 0.268 Te
0.500 0.500 0.732 Te
```

Results
Formation energy from raw total energies: -1086 meV/atom
Distance to the lowest polymorph of the same formula: 264.5 meV per atom
VASP energy: -0.348 Ry/atom
Crystal system: monoclinic


No. 8
The following is a PBE calculation of a relaxed structure of CdBiPd3, from the Alexandria database.

Geometry as POSCAR:
```
CdBiPd3
1.0
4.943 0.000 0.000
0.000 4.943 0.000
0.000 0.000 4.943
Cd Bi Pd
1 1 3
direct
0.000 0.000 0.000 Cd
0.500 0.500 0.500 Bi
0.000 0.000 0.500 Pd
0.000 0.500 0.000 Pd
0.500 0.000 0.000 Pd
```

Results
ΔE_f: 12.37 kcal/mol of atoms
Distance to the lowest polymorph of the same formula: 781.0 meV per atom
VASP energy: -0.260 Ry/atom
Crystal system: cubic


No. 9
The following is a PBE calculation of a relaxed structure of KZnSnAs2, from the Alexandria database.

Geometry as POSCAR:
```
KZnSnAs2
1.0
8.164 -2.110 0.000
8.164 2.110 0.000
-6.310 0.000 8.565
K Zn Sn As
2 2 2 4
direct
0.185 0.185 0.119 K
0.815 0.815 0.881 K
0.053 0.053 0.667 Zn
0.947 0.947 0.333 Zn
0.375 0.375 0.620 Sn
0.625 0.625 0.380 Sn
0.163 0.163 0.571 As
0.421 0.421 0.187 As
0.579 0.579 0.813 As
0.837 0.837 0.429 As
```

Results
ΔE_f: -5.65 kcal/mol of atoms
VASP energy: -0.248 Ry/atom
Crystal system: monoclinic


No. 10
The following is a PBE calculation of a relaxed structure of Ti2MnPb, from the Alexandria database.

Geometry as POSCAR:
```
Ti2MnPb
1.0
3.040 0.000 0.000
0.000 3.040 0.000
0.000 0.000 7.589
Ti Mn Pb
2 1 1
direct
0.000 0.000 0.187 Ti
0.000 0.000 0.813 Ti
0.500 0.500 0.000 Mn
0.500 0.500 0.500 Pb
```

Results
ΔE_f: -0.69 kcal/mol of atoms
VASP energy: -0.529 Ry/atom
Crystal system: tetragonal


No. 11
The following is a PBE calculation of a relaxed structure of CaTbInHg, from the Alexandria database.

Geometry as POSCAR:
```
CaTbInHg
1.0
0.000 3.786 3.786
3.786 0.000 3.786
3.786 3.786 0.000
Ca Tb In Hg
1 1 1 1
direct
0.000 0.000 0.000 Ca
0.500 0.500 0.500 Tb
0.250 0.250 0.250 In
0.750 0.750 0.750 Hg
```

Results
ΔE_f: -11.61 kcal/mol of atoms
VASP energy: -0.215 Ry/atom
Crystal system: cubic


No. 12
The following is a PBE calculation of a relaxed structure of KLiOs, from the Alexandria database.

Geometry as POSCAR:
```
KLiOs
1.0
2.813 0.000 0.000
-1.406 2.436 0.000
0.000 0.000 8.422
K Li Os
1 1 1
direct
0.000 0.000 0.000 K
0.667 0.333 0.412 Li
0.333 0.667 0.669 Os
```

Results
ΔE_f: 19.90 kcal/mol of atoms
Distance to the lowest polymorph of the same formula: 222.8 meV per atom
VASP energy: -0.285 Ry/atom
Crystal system: trigonal


Question: Which value of VASP energy does entry 7 give?
Answer: -0.348 Ry/atom